1.
An optimized crystal structure of SrCaLa, computed with GGA-PBE.

Structure (POSCAR):
```
SrCaLa
1.0
5.579 0.000 0.000
0.000 5.578 0.000
-0.002 0.000 17.025
Sr Ca La
4 4 4
direct
0.250 0.000 0.095 Sr
0.250 0.500 0.905 Sr
0.750 0.000 0.905 Sr
0.750 0.500 0.095 Sr
0.249 0.500 0.272 Ca
0.251 0.000 0.728 Ca
0.749 0.000 0.272 Ca
0.751 0.500 0.728 Ca
0.250 0.000 0.432 La
0.250 0.500 0.568 La
0.750 0.000 0.568 La
0.750 0.500 0.432 La
```

Values from the calculation:
**Density**: 3.3 g/cm3
**Space-group type**: C2/m
**Energy relative to the elements**: 0.03 eV per atom
**ΔE to the lowest computed polymorph**: 0.000 eV/atom
**Volume**: 530 Å³/cell
**Crystal system**: monoclinic
**M_tot**: 0.000 μB per cell



2.
An optimized crystal structure of SnRu2O2, computed with GGA-PBE.

Structure (POSCAR):
```
SnRu2O2
1.0
3.468 0.000 0.000
0.000 3.468 0.000
0.000 0.000 10.816
Sn Ru O
2 4 4
direct
0.000 0.000 0.000 Sn
0.500 0.500 0.500 Sn
0.000 0.000 0.370 Ru
0.000 0.000 0.630 Ru
0.500 0.500 0.130 Ru
0.500 0.500 0.870 Ru
0.000 0.500 0.250 O
0.000 0.500 0.750 O
0.500 0.000 0.250 O
0.500 0.000 0.750 O
```

Values from the calculation:
**Density**: 9.0 g/cm3
**Space-group type**: I4/mmm
**ΔE to the lowest computed polymorph**: 0.000 eV/atom
**ΔE_f (raw)**: -0.11 eV/atom
**Volume**: 130 Å³/cell
**Crystal system**: tetragonal
**M_tot**: 0.000 μB per cell



3.
An optimized crystal structure of YCoP2Ru, computed with GGA-PBE.

Structure (POSCAR):
```
YCoP2Ru
1.0
3.893 0.000 0.000
0.000 3.893 0.000
0.000 0.000 9.731
Y Co P Ru
2 2 4 2
direct
0.000 0.000 0.000 Y
0.500 0.500 0.500 Y
0.000 0.500 0.750 Co
0.500 0.000 0.250 Co
0.000 0.000 0.379 P
0.000 0.000 0.621 P
0.500 0.500 0.121 P
0.500 0.500 0.879 P
0.000 0.500 0.250 Ru
0.500 0.000 0.750 Ru
```

Values from the calculation:
**Density**: 7.0 g/cm3
**Space-group type**: I-4m2
**Energy relative to the elements**: -0.99 eV per atom
**Volume**: 148 Å³/cell
**Crystal system**: tetragonal
**M_tot**: 0.000 μB per cell



4.
An optimized crystal structure of Tb2Ho4Er5, computed with GGA-PBE.

Structure (POSCAR):
```
Tb2Ho4Er5
1.0
8.413 -1.760 0.000
8.413 1.760 0.000
-7.898 0.000 11.513
Tb Ho Er
2 4 5
direct
0.226 0.226 0.181 Tb
0.774 0.774 0.819 Tb
0.091 0.091 0.269 Ho
0.468 0.468 0.362 Ho
0.532 0.532 0.638 Ho
0.909 0.909 0.731 Ho
0.144 0.144 0.903 Er
0.188 0.188 0.561 Er
0.500 0.500 0.000 Er
0.812 0.812 0.439 Er
0.856 0.856 0.097 Er
```

Values from the calculation:
**Density**: 8.8 g/cm3
**Space-group type**: C2/m
**Energy relative to the elements**: 0.05 eV per atom
**ΔE to the lowest computed polymorph**: 0.000 eV/atom
**Volume**: 341 Å³/cell
**Crystal system**: monoclinic
**M_tot**: 0.173 μB per cell



Question: Which of these has the highest density?
Answer: SnRu2O2